# 1
# BeFeAg2

Crystalline BeFeAg2 at its relaxed geometry (PBE, Alexandria via LeMat-Bulk).

Structure (POSCAR):
```
BeFeAg2
1.0
2.7383 0.0000 0.0000
0.0000 3.9730 0.0000
-1.1427 0.0000 5.2616
Be Fe Ag
1 1 2
Direct
0.0000 0.0000 0.0000 Be
0.0000 0.0000 0.5000 Fe
0.4027 0.5000 0.2376 Ag
0.5973 0.5000 0.7624 Ag
```

E_form   391 meV/atom
Raw total energy   -4.08 eV/atom

# 2
# SbMo2Ir

Crystalline SbMo2Ir at its relaxed geometry (PBE, Alexandria via LeMat-Bulk).

Structure (POSCAR):
```
SbMo2Ir
1.0
4.8457 -1.5019 0.0000
4.8457 1.5019 0.0000
-1.4663 0.0000 4.5873
Sb Mo Ir
1 2 1
Direct
0.0000 0.0000 0.0000 Sb
0.2465 0.2465 0.8260 Mo
0.4808 0.4808 0.4776 Mo
0.7415 0.7415 0.3416 Ir
```

E_form (uncorrected)   0.1437 eV/atom
Raw total energy   -8.52 eV/atom

# 3
# RbTa2BAs

Crystalline RbTa2BAs at its relaxed geometry (PBE, Alexandria via LeMat-Bulk).

Structure (POSCAR):
```
RbTa2BAs
1.0
4.9981 0.0000 0.0000
0.0000 4.9981 0.0000
0.0000 0.0000 4.0410
Rb Ta B As
1 2 1 1
Direct
0.0000 0.0000 0.0000 Rb
0.0000 0.5000 0.0000 Ta
0.5000 0.0000 0.0000 Ta
0.0000 0.0000 0.5000 B
0.5000 0.5000 0.5000 As
```

E_form   3310 meV/atom
Raw total energy   -3.89 eV/atom